FeOF2 PBE with a Hubbard U optimized geometry; calculated total energy = -4.20 eV per atom; magnetic moment = 4.0 μB/f.u.; DOS(E_F) = 4.75 states/eV/f.u.
1.0
-3.106 -1.990 0.687
-3.373 1.477 -0.722
-2.054 -1.317 -2.851
F Fe O
2 1 1
direct
0.250 0.250 0.250
0.750 0.750 0.750
0.500 0.500 0.500
0.000 0.000 0.000